LiFeSbO4, relaxed, DFT PBE+U; SG = Imma; relative energy among the computed polymorphs = 0.000 eV/atom; ρ = 4.84 g/cm³
1.0
6.0844 0.0000 0.0000
-3.0422 5.4754 0.0133
0.0000 -3.5487 5.1119
Fe O Li Sb
2 8 2 2
direct
0.5000 0.5000 0.0000
0.0000 0.5000 0.0000
0.2809 0.5617 0.7956
0.2809 0.5617 0.2661
0.2750 0.0010 0.7505
0.7191 0.4383 0.7339
0.7260 0.0010 0.7505
0.2740 0.9990 0.2495
0.7191 0.4383 0.2044
0.7250 0.9990 0.2495
0.1488 0.2976 0.3988
0.8512 0.7024 0.6012
0.5000 0.0000 0.0000
0.5000 0.0000 0.5000